Density functional theory data (GGA-PBE) for an optimized crystal structure of CsVN2.

Computed properties:
electronic total energy = -0.4114 Ry/atom
space-group type = R-3m (166)

Cell: 7.802 7.802 7.802 Å, 29.93 29.93 29.93°
Fractional positions:
1 N 0.077 0.077 0.077
2 N 0.923 0.923 0.923
3 V 0.000 0.000 0.000
4 Cs 0.500 0.500 0.500

Density functional theory data (GGA-PBE) for an optimized crystal structure of Th2CdOs.

Computed properties:
space-group type = P4/mmm (123)
energy above the lowest structure with this stoichiometry = 45 meV/atom
ΔH_f (0 K) = -0.16 eV/atom

Cell: 3.511 3.511 8.396 Å, 90.00 90.00 90.00°
Fractional positions:
1 Th 0.000 0.000 0.790
2 Th 0.000 0.000 0.210
3 Cd 0.500 0.500 0.500
4 Os 0.500 0.500 0.000

What did the first record say?
Density functional theory data (GGA-PBE) for an optimized crystal structure of CsVN2.

Computed properties:
electronic total energy = -0.4114 Ry/atom
space-group type = R-3m (166)

Cell: 7.802 7.802 7.802 Å, 29.93 29.93 29.93°
Fractional positions:
1 N 0.077 0.077 0.077
2 N 0.923 0.923 0.923
3 V 0.000 0.000 0.000
4 Cs 0.500 0.500 0.500